(1)
First-principles (PBE) data for a geometry-optimized TaCu2Br structure, as listed in Alexandria via LeMat-Bulk.

Values from the calculation:
space-group type: Immm (71)
crystal system: orthorhombic
ΔE to the lowest computed polymorph: 334 meV/atom

abc: 5.500 5.500 4.532
angles: 65.65 65.65 31.60
Fractional coordinates of all 4 atoms:
Br1 0.250 0.250 0.250
Cu1 0.007 0.007 0.993
Cu2 0.493 0.493 0.507
Ta1 0.750 0.750 0.750

(2)
First-principles (PBE) data for a geometry-optimized TaCuBr structure, as listed in Alexandria via LeMat-Bulk.

Values from the calculation:
space-group type: P3m1 (156)
crystal system: trigonal
ΔE to the lowest computed polymorph: 0 meV/atom

abc: 3.156 3.156 7.014
angles: 90.00 90.00 120.00
Fractional coordinates of all 3 atoms:
Br1 0.000 0.000 0.944
Cu1 0.667 0.333 0.389
Ta1 0.333 0.667 0.667

(3)
First-principles (PBE) data for a geometry-optimized TaCu2Br structure, as listed in Alexandria via LeMat-Bulk.

Values from the calculation:
space-group type: C2/m (12)
crystal system: monoclinic
ΔE to the lowest computed polymorph: 268 meV/atom

abc: 5.888 5.072 2.970
angles: 90.12 59.47 115.58
Fractional coordinates of all 4 atoms:
Br1 0.500 0.500 0.000
Cu1 0.000 0.000 0.000
Cu2 0.500 0.000 0.500
Ta1 0.000 0.500 0.500

(4)
First-principles (PBE) data for a geometry-optimized TaCu2Br structure, as listed in Alexandria via LeMat-Bulk.

Values from the calculation:
space-group type: Imm2 (44)
crystal system: orthorhombic
ΔE to the lowest computed polymorph: 307 meV/atom

abc: 5.479 5.479 5.479
angles: 147.89 128.97 61.58
Fractional coordinates of all 4 atoms:
Br1 0.728 0.228 0.500
Cu1 0.020 0.020 0.000
Cu2 0.253 0.753 0.500
Ta1 0.498 0.498 0.000

(5)
First-principles (PBE) data for a geometry-optimized TaCu2Br structure, as listed in Alexandria via LeMat-Bulk.

Values from the calculation:
space-group type: P4/mmm (123)
crystal system: tetragonal
ΔE to the lowest computed polymorph: 129 meV/atom

abc: 3.062 3.062 7.229
angles: 90.00 90.00 90.00
Fractional coordinates of all 4 atoms:
Br1 0.500 0.500 0.750
Cu1 0.000 0.000 0.012
Cu2 0.000 0.000 0.488
Ta1 0.500 0.500 0.250

(6)
First-principles (PBE) data for a geometry-optimized TaCuBr structure, as listed in Alexandria via LeMat-Bulk.

Values from the calculation:
space-group type: Fmm2 (42)
crystal system: orthorhombic
ΔE to the lowest computed polymorph: 115 meV/atom

abc: 7.091 7.092 3.051
angles: 77.54 77.61 24.84
Fractional coordinates of all 3 atoms:
Br1 0.961 0.961 0.039
Cu1 0.709 0.709 0.291
Ta1 0.329 0.329 0.671

(7)
First-principles (PBE) data for a geometry-optimized Ta2CuBr8 structure, as listed in Alexandria via LeMat-Bulk.

Values from the calculation:
E: -4.294 eV per atom
space-group type: C2/m (12)
crystal system: monoclinic

abc: 7.045 7.795 7.795
angles: 53.28 106.94 106.94
Fractional coordinates of all 11 atoms:
Ta1 0.505 0.753 0.753
Ta2 0.495 0.247 0.247
Cu1 0.000 0.000 0.000
Br1 0.257 0.354 0.884
Br2 0.743 0.116 0.646
Br3 0.246 0.839 0.839
Br4 0.754 0.161 0.161
Br5 0.257 0.884 0.354
Br6 0.743 0.646 0.116
Br7 0.700 0.636 0.636
Br8 0.300 0.364 0.364

(8)
First-principles (PBE) data for a geometry-optimized TaCu2Br structure, as listed in Alexandria via LeMat-Bulk.

Values from the calculation:
space-group type: I4/mmm (139)
crystal system: tetragonal
ΔE to the lowest computed polymorph: 545 meV/atom

abc: 5.313 5.313 5.313
angles: 138.87 138.87 59.57
Fractional coordinates of all 4 atoms:
Br1 0.750 0.250 0.500
Cu1 0.000 0.000 0.000
Cu2 0.500 0.500 0.000
Ta1 0.250 0.750 0.500

(9)
First-principles (PBE) data for a geometry-optimized Ta3CuBr structure, as listed in Alexandria via LeMat-Bulk.

Values from the calculation:
space-group type: Pm-3m (221)
crystal system: cubic
ΔE to the lowest computed polymorph: 0 meV/atom

abc: 4.727 4.727 4.727
angles: 90.00 90.00 90.00
Fractional coordinates of all 5 atoms:
Cu1 0.000 0.000 0.000
Br1 0.500 0.500 0.500
Ta1 0.000 0.500 0.000
Ta2 0.000 0.000 0.500
Ta3 0.500 0.000 0.000

(10)
First-principles (PBE) data for a geometry-optimized TaCu2Br structure, as listed in Alexandria via LeMat-Bulk.

Values from the calculation:
space-group type: Fm-3m (225)
crystal system: cubic
ΔE to the lowest computed polymorph: 799 meV/atom

abc: 4.570 4.570 4.570
angles: 60.00 60.00 60.00
Fractional coordinates of all 4 atoms:
Cu1 0.250 0.250 0.250
Cu2 0.750 0.750 0.750
Br1 0.000 0.000 0.000
Ta1 0.500 0.500 0.500

(11)
First-principles (PBE) data for a geometry-optimized TaCuBr structure, as listed in Alexandria via LeMat-Bulk.

Values from the calculation:
space-group type: F-43m (216)
crystal system: cubic
ΔE to the lowest computed polymorph: 936 meV/atom

abc: 4.279 4.279 4.279
angles: 60.00 60.00 60.00
Fractional coordinates of all 3 atoms:
Br1 0.750 0.750 0.750
Cu1 0.000 0.000 0.000
Ta1 0.500 0.500 0.500

(12)
First-principles (PBE) data for a geometry-optimized TaCu2Br structure, as listed in Alexandria via LeMat-Bulk.

Values from the calculation:
space-group type: R-3m (166)
crystal system: trigonal
ΔE to the lowest computed polymorph: 104 meV/atom

abc: 8.634 8.634 8.634
angles: 20.37 20.37 20.37
Fractional coordinates of all 4 atoms:
Br1 0.750 0.750 0.750
Cu1 0.999 0.999 0.999
Cu2 0.501 0.501 0.501
Ta1 0.250 0.250 0.250

(13)
First-principles (PBE) data for a geometry-optimized TaCu3Br9 structure, as listed in Alexandria via LeMat-Bulk.

Values from the calculation:
E: -3.570 eV per atom
space-group type: Cc (9)
crystal system: monoclinic

abc: 9.366 10.028 12.305
angles: 79.73 67.63 62.16
Fractional coordinates of all 26 atoms:
Ta1 0.038 0.540 0.991
Ta2 0.432 0.040 0.491
Cu1 0.953 0.369 0.566
Cu2 0.112 0.869 0.066
Cu3 0.932 0.884 0.919
Cu4 0.265 0.384 0.419
Cu5 0.611 0.239 0.788
Cu6 0.362 0.739 0.288
Br1 0.344 0.166 0.308
Br2 0.182 0.666 0.808
Br3 0.320 0.291 0.926
Br4 0.464 0.791 0.426
Br5 0.098 0.108 0.595
Br6 0.199 0.608 0.095
Br7 0.769 0.776 0.088
Br8 0.366 0.276 0.588
Br9 0.727 0.998 0.377
Br10 0.898 0.498 0.877
Br11 0.489 0.891 0.664
Br12 0.956 0.391 0.164
Br13 0.476 0.477 0.296
Br14 0.750 0.977 0.796
Br15 0.658 0.440 0.689
Br16 0.212 0.940 0.189
Br17 0.971 0.080 0.970
Br18 0.979 0.580 0.470

(14)
First-principles (PBE) data for a geometry-optimized TaCuBr6 structure, as listed in Alexandria via LeMat-Bulk.

Values from the calculation:
E: -3.924 eV per atom
space-group type: C2/m (12)
crystal system: monoclinic

abc: 7.562 7.157 7.193
angles: 105.23 107.67 116.53
Fractional coordinates of all 8 atoms:
Ta1 0.000 0.500 0.000
Cu1 0.000 0.000 0.000
Br1 0.860 0.102 0.697
Br2 0.163 0.405 0.303
Br3 0.837 0.595 0.697
Br4 0.140 0.898 0.303
Br5 0.368 0.688 0.000
Br6 0.632 0.312 0.000

(15)
First-principles (PBE) data for a geometry-optimized TaCu2Br structure, as listed in Alexandria via LeMat-Bulk.

Values from the calculation:
space-group type: F-43m (216)
crystal system: cubic
ΔE to the lowest computed polymorph: 430 meV/atom

abc: 4.464 4.464 4.464
angles: 60.00 60.00 60.00
Fractional coordinates of all 4 atoms:
Br1 0.500 0.500 0.500
Cu1 0.000 0.000 0.000
Cu2 0.250 0.250 0.250
Ta1 0.750 0.750 0.750

(16)
First-principles (PBE) data for a geometry-optimized TaCu2Br structure, as listed in Alexandria via LeMat-Bulk.

Values from the calculation:
space-group type: Pmmm (47)
crystal system: orthorhombic
ΔE to the lowest computed polymorph: 408 meV/atom

abc: 2.990 4.516 4.769
angles: 90.00 90.00 90.00
Fractional coordinates of all 4 atoms:
Br1 0.000 0.500 0.500
Cu1 0.000 0.000 0.000
Cu2 0.500 0.500 0.000
Ta1 0.500 0.000 0.500

(17)
First-principles (PBE) data for a geometry-optimized TaCu2Br structure, as listed in Alexandria via LeMat-Bulk.

Values from the calculation:
space-group type: Cmmm (65)
crystal system: orthorhombic
ΔE to the lowest computed polymorph: 126 meV/atom

abc: 2.989 2.989 8.243
angles: 90.00 90.00 111.28
Fractional coordinates of all 4 atoms:
Br1 0.500 0.500 0.750
Cu1 0.000 0.000 0.004
Cu2 0.000 0.000 0.496
Ta1 0.500 0.500 0.250

(18)
First-principles (PBE) data for a geometry-optimized TaCu2Br structure, as listed in Alexandria via LeMat-Bulk.

Values from the calculation:
space-group type: I-42d (122)
crystal system: tetragonal
ΔE to the lowest computed polymorph: 427 meV/atom

abc: 7.293 7.293 5.753
angles: 50.67 50.67 90.00
Fractional coordinates of all 8 atoms:
Cu1 0.624 0.125 0.250
Cu2 0.126 0.625 0.250
Cu3 0.375 0.376 0.750
Cu4 0.875 0.874 0.750
Br1 0.500 0.500 0.000
Br2 0.250 0.750 0.500
Ta1 0.000 0.000 0.000
Ta2 0.750 0.250 0.500

(19)
First-principles (PBE) data for a geometry-optimized TaCu2Br structure, as listed in Alexandria via LeMat-Bulk.

Values from the calculation:
space-group type: P4/mmm (123)
crystal system: tetragonal
ΔE to the lowest computed polymorph: 491 meV/atom

abc: 3.179 4.574 4.574
angles: 90.00 90.00 90.00
Fractional coordinates of all 4 atoms:
Br1 0.500 0.000 0.500
Cu1 0.000 0.000 0.000
Cu2 0.000 0.500 0.500
Ta1 0.500 0.500 0.000

(20)
First-principles (PBE) data for a geometry-optimized TaCu2Br structure, as listed in Alexandria via LeMat-Bulk.

Values from the calculation:
space-group type: I-4m2 (119)
crystal system: tetragonal
ΔE to the lowest computed polymorph: 359 meV/atom

abc: 4.959 4.959 4.959
angles: 133.66 133.66 67.62
Fractional coordinates of all 4 atoms:
Br1 0.750 0.250 0.500
Cu1 0.000 0.000 0.000
Cu2 0.250 0.750 0.500
Ta1 0.500 0.500 0.000